## AlH2 (PBE-GGA)

Data for AlH2 after structural relaxation.

Structure (extended XYZ):
```
6
Lattice="4.333 -1.358 0.000 4.333 1.358 0.000 -3.491 0.000 4.881" Properties=species:S:1:pos:R:3 pbc="T T T"
Al 0.648 0.000 1.130
Al 4.528 0.000 3.751
H -0.931 0.000 3.842
H 1.203 0.000 2.912
H 3.973 0.000 1.968
H 6.107 0.000 1.038
```

Calculated values
- crystal system = monoclinic
- VASP energy (eV/atom) = -3.36
- volume (Å³ per cell) = 57
- symmetry = C2/m, No. 12

## AlH3 (PBE-GGA)

Data for AlH3 after structural relaxation.

Structure (extended XYZ):
```
4
Lattice="-1.209 3.079 2.062 1.209 -3.079 2.062 1.209 3.079 -2.062" Properties=species:S:1:pos:R:3 pbc="T T T"
Al 0.000 0.000 0.000
H 1.209 1.119 -0.742
H 1.209 0.000 1.226
H 0.000 1.960 1.320
```

Calculated values
- crystal system = orthorhombic
- VASP energy (eV/atom) = -3.25
- volume (Å³ per cell) = 31
- symmetry = Imm2, No. 44

## AlH (PBE-GGA)

Data for AlH after structural relaxation.

Structure (extended XYZ):
```
2
Lattice="2.766 0.000 0.000 -1.383 2.396 0.000 0.000 0.000 3.506" Properties=species:S:1:pos:R:3 pbc="T T T"
Al 0.000 0.000 0.000
H 0.000 0.000 1.753
```

Calculated values
- crystal system = hexagonal
- VASP energy (eV/atom) = -3.41
- volume (Å³ per cell) = 23
- symmetry = P6/mmm, No. 191

## AlH (PBE-GGA)

Data for AlH after structural relaxation.

Structure (extended XYZ):
```
8
Lattice="0.000 3.369 4.070 2.938 0.000 4.070 2.938 3.369 0.000" Properties=species:S:1:pos:R:3 pbc="T T T"
Al 2.204 0.549 3.053
Al 3.673 2.234 5.088
Al 2.204 4.504 3.053
Al 3.673 6.189 5.088
H 2.204 2.527 2.076
H 2.204 2.527 4.029
H 3.673 4.211 4.111
H 3.673 4.211 6.064
```

Calculated values
- crystal system = orthorhombic
- VASP energy (eV/atom) = -3.30
- volume (Å³ per cell) = 81
- symmetry = Fddd, No. 70

## AlH (PBE-GGA)

Data for AlH after structural relaxation.

Structure (extended XYZ):
```
16
Lattice="8.759 0.000 0.000 0.000 8.759 0.000 0.000 0.000 2.751" Properties=species:S:1:pos:R:3 pbc="T T T"
Al 0.363 1.947 0.000
Al 1.947 8.396 0.000
Al 2.517 2.795 1.376
Al 2.795 6.242 1.376
Al 5.964 2.517 1.376
Al 6.242 5.964 1.376
Al 6.812 0.363 0.000
Al 8.396 6.812 0.000
H 0.814 5.637 0.000
H 2.615 4.555 1.376
H 3.122 0.814 0.000
H 4.204 2.615 1.376
H 4.555 6.144 1.376
H 5.637 7.945 0.000
H 6.144 4.204 1.376
H 7.945 3.122 0.000
```

Calculated values
- crystal system = tetragonal
- VASP energy (eV/atom) = -3.28
- volume (Å³ per cell) = 211
- symmetry = P4/m, No. 83

## AlH3 (PBE-GGA)

Data for AlH3 after structural relaxation.

Structure (extended XYZ):
```
16
Lattice="0.000 4.473 4.473 4.473 0.000 4.473 4.473 4.473 0.000" Properties=species:S:1:pos:R:3 pbc="T T T"
Al 0.000 0.000 0.000
Al 2.236 2.236 0.000
Al 2.236 0.000 2.236
Al 0.000 2.236 2.236
H 3.355 3.355 0.654
H 3.355 0.654 3.355
H 6.055 3.355 3.355
H 5.591 5.591 2.890
H 5.591 2.890 5.591
H 8.292 5.591 5.591
H 0.654 3.355 3.355
H 3.355 6.055 3.355
H 3.355 3.355 6.055
H 2.890 5.591 5.591
H 5.591 8.292 5.591
H 5.591 5.591 8.292
```

Calculated values
- crystal system = cubic
- VASP energy (eV/atom) = -3.49
- volume (Å³ per cell) = 179
- symmetry = Fd-3m, No. 227

## AlH6 (PBE-GGA)

Data for AlH6 after structural relaxation.

Structure (extended XYZ):
```
14
Lattice="1.909 -2.602 0.000 1.909 2.602 0.000 -0.468 0.000 14.258" Properties=species:S:1:pos:R:3 pbc="T T T"
Al 0.955 1.301 0.000
Al 0.721 -1.301 7.129
H 0.954 1.298 1.582
H 0.077 0.004 3.887
H -0.157 -0.004 11.016
H 0.721 0.754 7.129
H 0.955 -0.754 0.000
H 2.631 1.298 5.547
H 0.720 -1.298 8.711
H 2.395 0.754 14.258
H 2.629 -0.754 7.129
H 3.508 0.004 3.242
H 3.274 -0.004 10.371
H 2.397 -1.298 12.676
```

Calculated values
- crystal system = monoclinic
- VASP energy (eV/atom) = -3.14
- volume (Å³ per cell) = 142
- symmetry = C2/c, No. 15

## AlH (PBE-GGA)

Data for AlH after structural relaxation.

Structure (extended XYZ):
```
12
Lattice="2.784 0.000 0.000 0.000 12.194 0.000 0.000 0.000 3.635" Properties=species:S:1:pos:R:3 pbc="T T T"
Al 0.696 1.241 0.588
Al 0.696 4.856 0.588
Al 0.696 9.145 1.485
Al 2.088 3.048 2.149
Al 2.088 7.338 3.047
Al 2.088 10.953 3.047
H 0.696 0.192 2.723
H 0.696 3.048 3.397
H 0.696 5.905 2.723
H 2.088 6.289 0.911
H 2.088 9.145 0.238
H 2.088 12.002 0.911
```

Calculated values
- crystal system = orthorhombic
- VASP energy (eV/atom) = -3.27
- volume (Å³ per cell) = 123
- symmetry = Pmmn, No. 59

## Hf4AlH2 (PBE-GGA)

Data for Hf4AlH2 after structural relaxation.

Structure (extended XYZ):
```
14
Lattice="0.000 6.135 3.078 6.111 0.000 3.078 6.111 6.135 0.000" Properties=species:S:1:pos:R:3 pbc="T T T"
Hf 7.710 6.974 1.400
Hf 4.654 2.228 2.939
Hf 4.513 5.296 1.400
Hf 6.952 4.542 3.078
Hf 7.568 10.042 2.939
Hf 8.326 7.610 4.617
Hf 5.271 7.727 3.078
Hf 10.008 10.795 4.617
Al 3.056 3.067 0.701
Al 6.111 6.135 5.318
H 5.016 4.168 3.004
H 10.263 7.235 4.543
H 7.207 8.102 3.004
H 8.071 11.169 4.543
```

Calculated values
- crystal system = orthorhombic
- VASP energy (eV/atom) = -7.34
- volume (Å³ per cell) = 231
- symmetry = Fdd2, No. 43

## Hf5AlH (PBE-GGA)

Data for Hf5AlH after structural relaxation.

Structure (extended XYZ):
```
14
Lattice="5.034 -3.778 0.000 5.034 3.778 0.000 -3.179 0.000 7.173" Properties=species:S:1:pos:R:3 pbc="T T T"
Hf 2.650 3.717 5.379
Hf 0.337 2.065 6.258
Hf 2.120 1.050 3.841
Hf 4.963 2.065 4.501
Hf 3.180 1.050 6.918
Hf 3.709 -1.050 0.255
Hf 1.926 -2.065 2.672
Hf 4.770 -1.050 3.331
Hf 6.553 -2.065 0.914
Hf 4.240 -3.717 1.793
Al 4.240 1.156 1.793
Al 2.650 -1.156 5.379
H 0.000 0.000 0.000
H -1.590 0.000 3.586
```

Calculated values
- crystal system = monoclinic
- VASP energy (eV/atom) = -8.02
- volume (Å³ per cell) = 273
- symmetry = C2/c, No. 15

## Hf6Al3H (PBE-GGA)

Data for Hf6Al3H after structural relaxation.

Structure (extended XYZ):
```
10
Lattice="4.940 -2.844 0.000 4.940 2.844 0.000 -0.780 0.000 6.648" Properties=species:S:1:pos:R:3 pbc="T T T"
Hf 3.331 1.432 4.313
Hf 0.755 0.000 6.037
Hf 5.770 1.432 2.335
Hf 3.331 -1.432 4.313
Hf 8.346 0.000 0.612
Hf 5.770 -1.432 2.335
Al 3.206 0.000 1.802
Al 4.940 0.000 0.000
Al 5.895 0.000 4.846
H -0.390 0.000 3.324
```

Calculated values
- crystal system = monoclinic
- VASP energy (eV/atom) = -7.60
- volume (Å³ per cell) = 187
- symmetry = C2/m, No. 12

## HfAl2H2 (PBE-GGA)

Data for HfAl2H2 after structural relaxation.

Structure (extended XYZ):
```
10
Lattice="5.527 0.000 0.000 0.000 5.527 0.000 0.000 0.000 4.054" Properties=species:S:1:pos:R:3 pbc="T T T"
Hf 0.000 0.000 0.000
Hf 2.764 2.764 0.000
Al 1.024 1.740 2.027
Al 1.740 4.504 2.027
Al 3.787 1.024 2.027
Al 4.504 3.787 2.027
H 0.951 1.812 0.000
H 1.812 4.576 0.000
H 3.715 0.951 0.000
H 4.576 3.715 0.000
```

Calculated values
- crystal system = tetragonal
- VASP energy (eV/atom) = -4.90
- volume (Å³ per cell) = 124
- symmetry = P4/mbm, No. 127